(1)
Density functional theory data (PBE) for an optimized crystal structure of LuTcSn.

a b c (Å): 3.5075 3.5075 9.8931
angles (deg): 90.00 90.00 90.00
With the nearest neighbours (Å) after each atom.
Space group I4mm (No. 107)
Unique sites:
Lu  0.0000  0.0000  0.0000 [2 per cell]  5 Tc 2.97-3.30, 5 Sn 3.00-3.15
Tc  0.0000  0.0000  0.6660 [2 per cell]  4 Sn 2.83, 4 Lu 2.97
Sn  0.0000  0.0000  0.3032 [2 per cell]  4 Tc 2.83, 5 Lu 3.00-3.15

Output
For the size of the total moment, the calculation gives 0.0 μB per formula unit. As for the formation energy from the elements: -0.2970 eV/atom. The calculated volume comes out at 20.28 Å³/atom.

=====

(2)
Density functional theory data (PBE) for an optimized crystal structure of TlInGa2Ni.

a b c (Å): 4.6486 4.6486 5.2713
angles (deg): 90.00 90.00 90.00
With the nearest neighbours (Å) after each atom.
Space group P4/mmm (No. 123)
Unique sites:
Tl  0.0000  0.0000  0.0000 [1 per cell]  2 Ni 2.64
In  0.5000  0.5000  0.0000 [1 per cell]  4 Tl 3.29, 8 Ga 3.51
Ga  0.0000  0.5000  0.5000 [2 per cell]  2 Ni 2.32
Ni  0.0000  0.0000  0.5000 [1 per cell]  4 Ga 2.32

Output
For the size of the total moment, the calculation gives 0.0 μB per formula unit. As for the formation energy from the elements: 0.0210 eV/atom. The calculated volume comes out at 22.78 Å³/atom.

=====

(3)
Density functional theory data (PBE) for an optimized crystal structure of Pr4PtCBr2.

a b c (Å): 7.3456 3.9779 7.8497
angles (deg): 90.00 107.45 90.00
With the nearest neighbours (Å) after each atom.
Space group P2/m (No. 10)
Unique sites:
Pr  0.2035  0.0000  0.1908 [2 per cell]  2 C 2.66
Pr  0.2446  0.5000  0.8063 [2 per cell]  1 C 2.68, 2 Pt 2.84
Pt  0.5000  0.0000  0.0000 [1 per cell]  6 Pr 2.84-2.99
C  0.0000  0.5000  0.0000 [1 per cell]  6 Pr 2.66-2.68
Br  0.0000  0.0000  0.5000 [1 per cell]  6 Pr 3.21-3.22
Br  0.5000  0.5000  0.5000 [1 per cell]  6 Pr 3.38-3.46

Output
For the size of the total moment, the calculation gives 0.0 μB per formula unit. Its energy relative to the elements, uncorrected is -22.11 kcal/mol of atoms. The calculated volume comes out at 27.35 Å³/atom.

=====

(4)
Density functional theory data (PBE) for an optimized crystal structure of CsKTl3.

a b c (Å): 6.6786 6.6786 6.6786
angles (deg): 90.00 90.00 90.00
With the nearest neighbours (Å) after each atom.
Space group Pm-3m (No. 221)
Unique sites:
Cs  0.0000  0.0000  0.0000 [1 per cell]  6 Tl 3.34
K  0.5000  0.5000  0.5000 [1 per cell]  12 Tl 4.72
Tl  0.0000  0.0000  0.5000 [3 per cell]  2 Cs 3.34

Output
For the size of the total moment, the calculation gives 0.0 μB per formula unit. As for the formation energy from the elements: 0.5153 eV/atom. The calculated volume comes out at 59.58 Å³/atom.